# 1
# ZnIn

A relaxed ZnIn crystal (PBE, the Alexandria database).

Calculated values
space group	P-1
volume	21.36	Å³ per atom
E_form	72	meV/atom
E	-1.93	eV/atom
spin magnetization	0.000	μB per formula unit

Cell: 3.107 5.474 5.606 Å, 100.12 105.61 105.22°
Sites, in units of the cell vectors:
Zn (0.090, 0.306, 0.365)
Zn (0.910, 0.694, 0.635)
In (0.257, 0.804, 0.186)
In (0.743, 0.196, 0.814)

# 2
# ZnIn

A relaxed ZnIn crystal (PBE, the Alexandria database).

Calculated values
space group	Pmmn
volume	21.89	Å³ per atom
E_form	124	meV/atom
E	-1.88	eV/atom
spin magnetization	0.000	μB per formula unit

Cell: 3.434 5.504 4.632 Å, 90.00 90.00 90.00°
Sites, in units of the cell vectors:
Zn (0.250, 0.250, 0.117)
Zn (0.750, 0.750, 0.883)
In (0.250, 0.750, 0.375)
In (0.750, 0.250, 0.625)

# 3
# Zn3In5

A relaxed Zn3In5 crystal (PBE, the Alexandria database).

Calculated values
E above lowest polymorph	17.7	meV/atom
space group	Cmmm
volume	22.97	Å³ per atom
E_form	97	meV/atom
E	-2.09	eV/atom
spin magnetization	0.000	μB per formula unit

Cell: 8.883 9.013 4.591 Å, 90.00 90.00 90.00°
Sites, in units of the cell vectors:
Zn (0.000, 0.000, 0.000)
Zn (0.000, 0.259, 0.500)
Zn (0.000, 0.741, 0.500)
Zn (0.500, 0.241, 0.500)
Zn (0.500, 0.500, 0.000)
Zn (0.500, 0.759, 0.500)
In (0.000, 0.500, 0.000)
In (0.221, 0.000, 0.500)
In (0.250, 0.250, 0.000)
In (0.250, 0.750, 0.000)
In (0.279, 0.500, 0.500)
In (0.500, 0.000, 0.000)
In (0.721, 0.500, 0.500)
In (0.750, 0.250, 0.000)
In (0.750, 0.750, 0.000)
In (0.779, 0.000, 0.500)

# 4
# Zr7Zn2In2

A relaxed Zr7Zn2In2 crystal (PBE, the Alexandria database).

Calculated values
space group	Cmmm
volume	23.57	Å³ per atom
E_form	208	meV/atom
E	-5.96	eV/atom
spin magnetization	0.000	μB per formula unit

Cell: 6.290 6.290 6.884 Å, 90.00 90.00 107.84°
Sites, in units of the cell vectors:
Zr (0.000, 0.000, 0.000)
Zr (0.000, 0.500, 0.275)
Zr (0.000, 0.500, 0.725)
Zr (0.500, 0.000, 0.275)
Zr (0.500, 0.000, 0.725)
Zr (0.500, 0.500, 0.251)
Zr (0.500, 0.500, 0.749)
Zn (0.284, 0.716, 0.000)
Zn (0.716, 0.284, 0.000)
In (0.180, 0.180, 0.500)
In (0.820, 0.820, 0.500)

- Which of these has the highest volume?
  Zr7Zn2In2